First-principles (PBE) data for a relaxed structure of Nd6Sb2C, as listed in Alexandria.

Lattice parameters (Å, degrees): 6.539 8.223 11.787 90.00 121.80 90.00
Element x y z (fractional)
Nd1 0.128 0.164 0.460
Nd2 0.128 0.336 0.960
Nd3 0.319 0.711 0.455
Nd4 0.319 0.789 0.955
Nd5 0.359 0.027 0.251
Nd6 0.359 0.473 0.751
Nd7 0.641 0.527 0.249
Nd8 0.641 0.973 0.749
Nd9 0.681 0.211 0.045
Nd10 0.681 0.289 0.545
Nd11 0.872 0.664 0.040
Nd12 0.872 0.836 0.540
Sb1 0.182 0.106 0.757
Sb2 0.182 0.394 0.257
Sb3 0.818 0.606 0.743
Sb4 0.818 0.894 0.243
C1 0.500 0.000 0.500
C2 0.500 0.500 0.000

- formation energy without anion corrections (eV per formula unit) = -5.12

First-principles (PBE) data for a relaxed structure of Ac2Pr3Y2, as listed in Alexandria.

Lattice parameters (Å, degrees): 3.787 6.427 11.248 95.04 90.03 107.06
Element x y z (fractional)
Ac1 0.217 0.433 0.351
Ac2 0.783 0.567 0.649
Pr1 0.358 0.718 0.934
Pr2 0.500 0.000 0.500
Pr3 0.642 0.282 0.066
Y1 0.068 0.136 0.791
Y2 0.932 0.864 0.209

- energy of formation from the pure elements (meV per atom) = 23.3

First-principles (PBE) data for a relaxed structure of Cs2MgMoCl6, as listed in Alexandria.

Lattice parameters (Å, degrees): 7.348 7.348 7.348 60.00 60.00 60.00
Element x y z (fractional)
Cs1 0.250 0.250 0.250
Cs2 0.750 0.750 0.750
Mg1 0.000 0.000 0.000
Mo1 0.500 0.500 0.500
Cl1 0.248 0.248 0.752
Cl2 0.248 0.752 0.248
Cl3 0.248 0.752 0.752
Cl4 0.752 0.248 0.248
Cl5 0.752 0.248 0.752
Cl6 0.752 0.752 0.248

- formation energy without anion corrections (eV per formula unit) = -14.18

First-principles (PBE) data for a relaxed structure of TiAl2Zn2, as listed in Alexandria.

Lattice parameters (Å, degrees): 4.300 4.300 5.196 110.18 110.18 62.59
Element x y z (fractional)
Ti1 0.000 0.000 0.000
Al1 0.207 0.207 0.620
Al2 0.793 0.793 0.380
Zn1 0.396 0.396 0.198
Zn2 0.604 0.604 0.802

- energy of formation from the pure elements (meV per atom) = -116.9

First-principles (PBE) data for a relaxed structure of Te2RuICl, as listed in Alexandria.

Lattice parameters (Å, degrees): 5.439 5.439 5.477 90.00 90.00 90.00
Element x y z (fractional)
Te1 0.000 0.500 0.000
Te2 0.500 0.000 0.000
Ru1 0.000 0.000 0.500
I1 0.500 0.500 0.500
Cl1 0.500 0.500 0.000

- formation energy without anion corrections (eV per formula unit) = 7.05

First-principles (PBE) data for a relaxed structure of TaMnPt2, as listed in Alexandria.

Lattice parameters (Å, degrees): 9.379 9.379 9.379 156.11 156.11 34.03
Element x y z (fractional)
Ta1 0.000 0.000 0.000
Ta2 0.750 0.250 0.500
Mn1 0.250 0.750 0.500
Mn2 0.500 0.500 0.000
Pt1 0.135 0.625 0.010
Pt2 0.375 0.385 0.510
Pt3 0.615 0.125 0.990
Pt4 0.875 0.865 0.490

- energy of formation from the pure elements (meV per atom) = -8.5

Taking the records one at a time from the top gives spin magnetization values of 0.01 0.00 4.00 0.00 4.02 5.30 μB per cell.